# 1
ReAsPt2 after structural relaxation, computed with PBE.

a = 9.0779 Å, b = 9.0779 Å, c = 9.0779 Å
α = 18.12°, β = 18.12°, γ = 18.12°
Positions (direct):
Pt (0.5012, 0.5012, 0.5012)
Pt (0.9988, 0.9988, 0.9988)
Re (0.2500, 0.2500, 0.2500)
As (0.7500, 0.7500, 0.7500)

Values from the calculation:
Its formation energy is 0.074 eV per atom. For the final energy, the calculation gives -7.22 eV per atom. The density comes out at 17.11 g cm⁻³.

=====

# 2
Mg2CrCo3S8 after structural relaxation, computed with PBE.

a = 6.9918 Å, b = 6.9918 Å, c = 6.9918 Å
α = 60.09°, β = 60.09°, γ = 60.09°
Positions (direct):
Cr (0.5000, 0.5000, 0.5000)
Co (0.0000, 0.5000, 0.5000)
Co (0.5000, 0.0000, 0.5000)
Co (0.5000, 0.5000, 0.0000)
S (0.2991, 0.7397, 0.7397)
S (0.2690, 0.2690, 0.2690)
S (0.2603, 0.7009, 0.2603)
S (0.7310, 0.7310, 0.7310)
S (0.7397, 0.7397, 0.2991)
S (0.7009, 0.2603, 0.2603)
S (0.2603, 0.2603, 0.7009)
S (0.7397, 0.2991, 0.7397)
Mg (0.1247, 0.1247, 0.1247)
Mg (0.8753, 0.8753, 0.8753)

Values from the calculation:
Its formation energy (no corrections) is -64.53 kJ/mol of atoms. For the final energy, the calculation gives -5.47 eV per atom. The density comes out at 3.66 g cm⁻³.

=====

# 3
KHfBi2Pb after structural relaxation, computed with PBE.

a = 5.8347 Å, b = 5.8347 Å, c = 5.7952 Å
α = 90.00°, β = 90.00°, γ = 90.00°
Positions (direct):
Bi (0.5000, 0.0000, 0.0000)
Bi (0.0000, 0.5000, 0.0000)
Pb (0.0000, 0.0000, 0.5000)
Hf (0.0000, 0.0000, 0.0000)
K (0.5000, 0.5000, 0.5000)

Values from the calculation:
Its formation energy is -0.027 eV per atom. For the final energy, the calculation gives -4.53 eV per atom. The density comes out at 7.09 g cm⁻³.

=====

# 4
NaLa3Ho2Te6 after structural relaxation, computed with PBE.

a = 4.4768 Å, b = 8.9916 Å, c = 10.0353 Å
α = 102.66°, β = 102.89°, γ = 90.00°
Positions (direct):
La (0.8379, 0.1713, 0.6757)
La (0.1621, 0.8287, 0.3243)
La (0.5000, 0.5000, 0.0000)
Te (0.6668, 0.0967, 0.3337)
Te (0.0069, 0.2454, 0.0138)
Te (0.3332, 0.9033, 0.6663)
Te (0.9931, 0.7546, 0.9862)
Te (0.6700, 0.5757, 0.3399)
Te (0.3300, 0.4243, 0.6601)
Na (0.5000, 0.0000, 0.0000)
Ho (0.1676, 0.3406, 0.3352)
Ho (0.8324, 0.6594, 0.6648)

Values from the calculation:
Its formation energy (no corrections) is -137.43 kJ/mol of atoms. For the final energy, the calculation gives -5.10 eV per atom. The density comes out at 6.64 g cm⁻³.

=====

# 5
Er8SiTe4Se3 after structural relaxation, computed with PBE.

a = 8.3010 Å, b = 8.4791 Å, c = 8.3020 Å
α = 119.32°, β = 120.00°, γ = 90.00°
Positions (direct):
Er (0.2612, 0.2837, 0.5224)
Er (0.7388, 0.7163, 0.4776)
Er (0.2323, 0.7140, 0.4646)
Er (0.7483, 0.7148, 0.9814)
Er (0.2517, 0.2852, 0.0186)
Er (0.7677, 0.2860, 0.5354)
Er (0.2332, 0.7148, 0.9814)
Er (0.7668, 0.2852, 0.0186)
Se (0.5000, 0.5000, 0.0000)
Se (0.5000, 0.5000, 0.5000)
Se (0.0000, 0.5000, 0.5000)
Te (0.0000, 0.0000, 0.0000)
Te (0.5000, 0.0000, 0.5000)
Te (0.5000, 0.0000, 0.0000)
Te (0.0000, 0.0000, 0.5000)
Si (0.0000, 0.5000, 0.0000)

Values from the calculation:
Its formation energy (no corrections) is -136.61 kJ/mol of atoms. For the final energy, the calculation gives -5.47 eV per atom. The density comes out at 8.41 g cm⁻³.

=====

# 6
FeSbP4 after structural relaxation, computed with PBE.

a = 5.2146 Å, b = 5.2146 Å, c = 5.2146 Å
α = 60.00°, β = 60.00°, γ = 60.00°
Positions (direct):
Fe (0.0000, 0.0000, 0.0000)
P (0.8985, 0.3672, 0.3672)
P (0.3672, 0.3672, 0.3672)
P (0.3672, 0.3672, 0.8985)
P (0.3672, 0.8985, 0.3672)
Sb (0.7500, 0.7500, 0.7500)

Values from the calculation:
Its formation energy (no corrections) is 76.74 kJ/mol of atoms. For the final energy, the calculation gives -4.91 eV per atom. The density comes out at 4.99 g cm⁻³.

=====

# 7
SrCr2Si after structural relaxation, computed with PBE.

a = 4.2780 Å, b = 4.2780 Å, c = 6.1301 Å
α = 69.58°, β = 69.58°, γ = 59.99°
Positions (direct):
Cr (0.0673, 0.0673, 0.7987)
Cr (0.7497, 0.7497, 0.7515)
Si (0.4328, 0.4328, 0.7024)
Sr (0.2502, 0.2502, 0.2474)

Values from the calculation:
Its formation energy (no corrections) is 1.76 kJ/mol of atoms. For the final energy, the calculation gives -6.57 eV per atom. The density comes out at 4.10 g cm⁻³.

=====

# 8
AlP2N4 after structural relaxation, computed with PBE.

a = 5.0231 Å, b = 5.0231 Å, c = 5.0223 Å
α = 102.39°, β = 102.39°, γ = 124.81°
Positions (direct):
P (0.2500, 0.7500, 0.5000)
P (0.7500, 0.2500, 0.5000)
N (0.1885, 0.5000, 0.6887)
N (0.5001, 0.8115, 0.3115)
N (0.8115, 0.5000, 0.3113)
N (0.4999, 0.1885, 0.6885)
Al (0.5000, 0.5000, 0.0000)

Values from the calculation:
Its formation energy (no corrections) is -21.16 kJ/mol of atoms. For the final energy, the calculation gives -7.06 eV per atom. The density comes out at 2.61 g cm⁻³.

=====

# 9
Tb2PmAlO after structural relaxation, computed with PBE.

a = 4.9005 Å, b = 4.7487 Å, c = 4.7487 Å
α = 90.00°, β = 90.00°, γ = 90.00°
Positions (direct):
Al (0.5000, 0.5000, 0.5000)
O (0.0000, 0.0000, 0.0000)
Tb (0.0000, 0.5000, 0.0000)
Tb (0.0000, 0.0000, 0.5000)
Pm (0.5000, 0.0000, 0.0000)

Values from the calculation:
Its formation energy (no corrections) is -131.19 kJ/mol of atoms. For the final energy, the calculation gives -5.90 eV per atom. The density comes out at 7.60 g cm⁻³.

=====

# 10
Pr2TeS2 after structural relaxation, computed with PBE.

a = 4.4273 Å, b = 5.5291 Å, c = 7.9759 Å
α = 110.28°, β = 106.11°, γ = 90.00°
Positions (direct):
Pr (0.6635, 0.1635, 0.3269)
Pr (0.3365, 0.8365, 0.6731)
S (0.2890, 0.2890, 0.5780)
S (0.7110, 0.7110, 0.4220)
Te (0.0000, 0.0000, 0.0000)

Values from the calculation:
Its formation energy (no corrections) is -177.39 kJ/mol of atoms. For the final energy, the calculation gives -6.03 eV per atom. The density comes out at 4.49 g cm⁻³.

=====

# 11
MnNiS2 after structural relaxation, computed with PBE.

a = 3.7384 Å, b = 3.7384 Å, c = 6.2569 Å
α = 72.62°, β = 72.62°, γ = 60.00°
Positions (direct):
Mn (0.4793, 0.4793, 0.5620)
S (0.8671, 0.8671, 0.3987)
S (0.3526, 0.3526, 0.9423)
Ni (0.9936, 0.9936, 0.0192)

Values from the calculation:
Its formation energy (no corrections) is -42.52 kJ/mol of atoms. For the final energy, the calculation gives -6.24 eV per atom. The density comes out at 4.15 g cm⁻³.

=====

# 12
Ho5MgCu4 after structural relaxation, computed with PBE.

a = 3.4493 Å, b = 3.4493 Å, c = 18.4036 Å
α = 90.00°, β = 90.00°, γ = 90.00°
Positions (direct):
Ho (0.5000, 0.5000, 0.8741)
Ho (0.5000, 0.5000, 0.1259)
Ho (0.5000, 0.5000, 0.3120)
Ho (0.5000, 0.5000, 0.5000)
Ho (0.5000, 0.5000, 0.6880)
Mg (0.0000, 0.0000, 0.0000)
Cu (0.0000, 0.0000, 0.4063)
Cu (0.0000, 0.0000, 0.2149)
Cu (0.0000, 0.0000, 0.7851)
Cu (0.0000, 0.0000, 0.5937)

Values from the calculation:
Its formation energy is -0.224 eV per atom. For the final energy, the calculation gives -4.31 eV per atom. The density comes out at 8.37 g cm⁻³.

=====

Number 1: V 15.8 A^3/atom. Number 2: V 17.3 A^3/atom. Number 3: V 39.5 A^3/atom. Number 4: V 32.0 A^3/atom. Number 5: V 26.1 A^3/atom. Number 6: V 16.7 A^3/atom. Number 7: V 22.2 A^3/atom. Number 8: V 13.2 A^3/atom. Number 9: V 22.1 A^3/atom. Number 10: V 35.0 A^3/atom. Number 11: V 17.8 A^3/atom. Number 12: V 21.9 A^3/atom.